Computed, not measured: crystalline KRhAu2N at its relaxed geometry at the GGA-PBE level of DFT.

POSCAR file:
```
KRhAu2N
1.0
4.259 0.000 0.000
0.000 4.259 0.000
0.000 0.000 5.105
K Rh Au N
1 1 2 1
Direct
0.000 0.000 0.000 K
0.500 0.500 0.000 Rh
0.000 0.500 0.500 Au
0.500 0.000 0.500 Au
0.000 0.000 0.500 N
```

Values from the calculation:
- D(E_F): 1.99 states/eV per atom
- Formation energy without anion corrections: 0.98 eV/atom
- Symmetry: No. 123